Here is a relaxed structure of Y2ZnGa2 from Alexandria. Energies are from PBE.

```
Y2ZnGa2
1.0
-2.884 2.884 3.703
2.884 -2.884 3.703
2.884 2.884 -3.703
Y Zn Ga
2 1 2
Direct
0.250 0.750 0.500
0.750 0.250 0.500
0.000 0.000 0.000
0.338 0.338 0.000
0.662 0.662 0.000
```

## Properties
formation energy from the elements = -0.116 eV per atom
final energy = -4.167 eV per atom
energy above the most stable polymorph in this dataset = 492 meV per atom
density of states at the Fermi level = 0.9554 states/eV/atom
magnetization = 0.6 μB/f.u.

Here is a relaxed structure of Y2Zn3Ga from Alexandria. Energies are from PBE.

```
Y2Zn3Ga
1.0
3.564 0.000 0.000
0.000 4.454 0.000
0.000 0.000 7.697
Y Zn Ga
2 3 1
Direct
0.000 0.000 0.000
0.000 0.500 0.500
0.500 0.000 0.331
0.500 0.000 0.664
0.500 0.500 0.170
0.500 0.500 0.835
```

## Properties
formation energy from the elements = -0.486 eV per atom
final energy = -3.782 eV per atom
energy above the most stable polymorph in this dataset = 0 meV per atom
density of states at the Fermi level = 0.6941 states/eV/atom
magnetization = 0.0 μB/f.u.

Here is a relaxed structure of Y3Zn9Ga2 from Alexandria. Energies are from PBE.

```
Y3Zn9Ga2
1.0
-2.143 4.760 6.254
2.143 -4.760 6.254
2.143 4.760 -6.254
Y Zn Ga
3 9 2
Direct
0.000 0.000 0.000
0.304 0.304 0.000
0.696 0.696 0.000
0.028 0.660 0.368
0.135 0.858 0.277
0.292 0.660 0.632
0.419 0.142 0.277
0.500 0.000 0.500
0.581 0.858 0.723
0.708 0.340 0.368
0.865 0.142 0.723
0.972 0.340 0.632
0.299 0.500 0.799
0.701 0.500 0.201
```

## Properties
formation energy from the elements = -0.370 eV per atom
final energy = -3.006 eV per atom
density of states at the Fermi level = 0.4455 states/eV/atom
magnetization = 0.0 μB/f.u.